(1)
A plane-wave DFT calculation with GGA-PBE was carried out for a relaxed MnNi3Sb crystal.

Lattice parameters (Å, degrees): 4.605 4.605 4.605 90.00 90.00 90.00
Site moments in Bohr magnetons follow the coordinates.
Element x y z (fractional)
Ni 0.500 0.000 0.000  -0.03
Ni 0.000 0.000 0.500  -0.04
Ni 0.000 0.500 0.000  -0.05
Mn 0.500 0.500 0.500  4.36
Sb 0.000 0.000 0.000  -0.01

## Properties
E above lowest polymorph in eV/atom: 0.0000
E_form (uncorrected) in eV per atom: 0.898

(2)
A plane-wave DFT calculation with GGA-PBE was carried out for a relaxed PrTlAg crystal.

Lattice parameters (Å, degrees): 3.549 5.048 5.048 120.00 90.00 90.00
Site moments in Bohr magnetons follow the coordinates.
Element x y z (fractional)
Pr 0.667 0.667 0.333  0.06
Tl 0.166 0.000 0.000  0.00
Ag 0.167 0.333 0.667  0.00

(3)
A plane-wave DFT calculation with GGA-PBE was carried out for a relaxed Nd2Zr2Ni15 crystal.

Lattice parameters (Å, degrees): 6.476 6.476 6.476 82.25 82.25 82.25
Site moments in Bohr magnetons follow the coordinates.
Element x y z (fractional)
Ni 0.000 0.701 0.299  0.08
Ni 0.655 0.159 0.655  0.06
Ni 0.299 0.000 0.701  0.08
Ni 0.701 0.000 0.299  0.08
Ni 0.345 0.841 0.345  0.06
Ni 0.000 0.299 0.701  0.08
Ni 0.159 0.655 0.655  0.06
Ni 0.655 0.655 0.159  0.06
Ni 0.701 0.299 0.000  0.08
Ni 0.841 0.345 0.345  0.06
Ni 0.299 0.701 0.000  0.08
Ni 0.000 0.000 0.500  0.05
Ni 0.000 0.500 0.000  0.05
Ni 0.345 0.345 0.841  0.06
Ni 0.500 0.000 0.000  0.05
Nd 0.355 0.355 0.355  -0.01
Nd 0.645 0.645 0.645  -0.01
Zr 0.892 0.892 0.892  -0.01
Zr 0.108 0.108 0.108  -0.01

(4)
A plane-wave DFT calculation with GGA-PBE was carried out for a relaxed La3GaC crystal.

Lattice parameters (Å, degrees): 3.820 8.042 8.969 86.90 90.00 76.26
Element x y z (fractional)
C 0.844 0.668 0.153
C 0.239 0.878 0.461
La 0.991 0.373 0.039
La 0.390 0.576 0.344
La 0.793 0.770 0.638
La 0.091 0.173 0.575
La 0.693 0.969 0.269
La 0.290 0.776 0.976
Ga 0.627 0.102 0.866
Ga 0.456 0.443 0.747

(5)
A plane-wave DFT calculation with GGA-PBE was carried out for a relaxed In3CuW crystal.

Lattice parameters (Å, degrees): 4.926 4.926 4.926 90.00 90.00 90.00
Site moments in Bohr magnetons follow the coordinates.
Element x y z (fractional)
In 0.000 0.000 0.500  -0.05
In 0.500 0.000 0.000  -0.01
In 0.000 0.500 0.000  -0.03
W 0.500 0.500 0.500  2.60
Cu 0.000 0.000 0.000  -0.01

## Properties
E above lowest polymorph in eV/atom: 0.0803

(6)
A plane-wave DFT calculation with GGA-PBE was carried out for a relaxed Sr2ZrIr crystal.

Lattice parameters (Å, degrees): 3.432 4.940 6.176 90.00 90.00 90.00
Element x y z (fractional)
Ir 0.500 0.500 0.750
Sr 0.000 0.000 0.983
Sr 0.000 0.000 0.517
Zr 0.500 0.500 0.250

## Properties
E above lowest polymorph in eV/atom: 0.6827

(7)
A plane-wave DFT calculation with GGA-PBE was carried out for a relaxed AlMo2Cl crystal.

Lattice parameters (Å, degrees): 2.831 4.973 4.654 90.00 90.00 90.00
Site moments in Bohr magnetons follow the coordinates.
Element x y z (fractional)
Mo 0.000 0.000 0.000  -0.04
Mo 0.500 0.500 0.000  0.23
Cl 0.000 0.500 0.500  0.00
Al 0.500 0.000 0.500  0.00

## Properties
E above lowest polymorph in eV/atom: 0.4403
E_form (uncorrected) in eV per atom: 0.477

(8)
A plane-wave DFT calculation with GGA-PBE was carried out for a relaxed TaNb3In2 crystal.

Lattice parameters (Å, degrees): 4.634 5.908 10.328 79.86 63.33 66.91
Element x y z (fractional)
In 0.164 0.672 0.500
In 0.500 0.000 0.500
In 0.836 0.328 0.500
In 0.000 0.000 0.000
Nb 0.739 0.000 0.763
Nb 0.261 0.000 0.237
Nb 0.073 0.347 0.755
Nb 0.580 0.347 0.245
Nb 0.927 0.653 0.245
Nb 0.420 0.653 0.755
Ta 0.332 0.335 0.000
Ta 0.668 0.665 0.000

(9)
A plane-wave DFT calculation with GGA-PBE was carried out for a relaxed MgOsW2 crystal.

Lattice parameters (Å, degrees): 2.830 4.023 5.570 90.00 90.00 90.00
Element x y z (fractional)
W 0.500 0.500 0.255
W 0.000 0.000 0.994
Mg 0.000 0.000 0.506
Os 0.500 0.500 0.745

(10)
A plane-wave DFT calculation with GGA-PBE was carried out for a relaxed K2InAu crystal.

Lattice parameters (Å, degrees): 3.798 3.798 9.617 90.00 90.00 90.38
Element x y z (fractional)
K 0.000 0.000 0.465
K 0.000 0.000 0.035
In 0.500 0.500 0.750
Au 0.500 0.500 0.250

(11)
A plane-wave DFT calculation with GGA-PBE was carried out for a relaxed PaCo4 crystal.

Lattice parameters (Å, degrees): 4.536 4.536 4.536 90.00 90.00 90.00
Site moments in Bohr magnetons follow the coordinates.
Element x y z (fractional)
Co 0.000 0.000 0.000  2.08
Co 0.000 0.500 0.500  0.19
Co 0.500 0.000 0.500  0.19
Co 0.500 0.500 0.000  0.19
Pa 0.500 0.500 0.500  -0.16

## Properties
E above lowest polymorph in eV/atom: 1.5805

(12)
A plane-wave DFT calculation with GGA-PBE was carried out for a relaxed Tc2RuCl crystal.

Lattice parameters (Å, degrees): 4.537 4.537 2.820 90.00 90.00 89.97
Element x y z (fractional)
Ru 0.000 0.500 0.500
Cl 0.500 0.000 0.500
Tc 0.000 0.000 0.000
Tc 0.500 0.500 0.000

## Properties
E above lowest polymorph in eV/atom: 0.4723
E_form (uncorrected) in eV per atom: 0.754

(13)
A plane-wave DFT calculation with GGA-PBE was carried out for a relaxed Hf6TcRh crystal.

Lattice parameters (Å, degrees): 4.619 8.111 8.112 33.08 73.46 73.45
Element x y z (fractional)
Hf 0.391 0.109 0.109
Hf 0.891 0.609 0.609
Hf 0.609 0.891 0.891
Hf 0.748 0.252 0.252
Hf 0.252 0.748 0.748
Hf 0.109 0.391 0.391
Tc 0.500 0.500 0.500
Rh 0.000 0.000 0.000

no.,DFT total energy (eV per formula unit),theoretical density (Mg/m³),magnetization (Bohr magnetons per cell)
1,-26.15,6.0,4.470
2,-10.93,9.6,0.112
3,-118.15,8.5,0.863
4,-28.44,6.2,0.000
5,-19.48,8.2,3.275
6,-18.83,7.3,0.000
7,-25.34,6.4,0.228
8,-47.18,9.8,0.000
9,-37.18,15.2,0.000
10,-8.62,4.7,0.000
11,-30.81,8.3,2.418
12,-28.84,9.5,0.000
13,-80.17,13.3,0.000